(1)
# Li3YNp2S6 | Alexandria via LeMat-Bulk | PBE | optimized geometry
data_Li3YNp2S6
_cell_length_a 6.800
_cell_length_b 6.800
_cell_length_c 6.561
_cell_angle_alpha 99.95
_cell_angle_beta 99.95
_cell_angle_gamma 119.99
_symmetry_space_group_name_H-M 'P 1'
_symmetry_Int_Tables_number 1
loop_
_symmetry_equiv_pos_as_xyz
'x,y,z'
loop_
_atom_site_label
_atom_site_type_symbol
_atom_site_fract_x
_atom_site_fract_y
_atom_site_fract_z
Li1 Li 0.000 0.000 0.000
Li2 Li 0.334 0.666 0.000
Li3 Li 0.666 0.334 0.000
Y1 Y 0.500 0.500 0.500
Np1 Np 0.167 0.833 0.500
Np2 Np 0.833 0.167 0.500
S1 S 0.082 0.416 0.248
S2 S 0.250 0.250 0.753
S3 S 0.416 0.082 0.248
S4 S 0.584 0.918 0.752
S5 S 0.750 0.750 0.247
S6 S 0.918 0.584 0.752
# **Total DFT energy (no corrections)**: -6.75 eV/atom
# **Space-group type**: C2/m
# **D(E_F)**: 1.670 states/eV/atom

***

(2)
# LiY2NpS5 | Alexandria via LeMat-Bulk | PBE | optimized geometry
data_LiY2NpS5
_cell_length_a 8.332
_cell_length_b 8.332
_cell_length_c 11.798
_cell_angle_alpha 90.00
_cell_angle_beta 90.00
_cell_angle_gamma 152.93
_symmetry_space_group_name_H-M 'P 1'
_symmetry_Int_Tables_number 1
loop_
_symmetry_equiv_pos_as_xyz
'x,y,z'
loop_
_atom_site_label
_atom_site_type_symbol
_atom_site_fract_x
_atom_site_fract_y
_atom_site_fract_z
Li1 Li 0.016 0.984 0.500
Li2 Li 0.984 0.016 0.000
Y1 Y 0.375 0.625 0.317
Y2 Y 0.391 0.609 0.708
Y3 Y 0.609 0.391 0.208
Y4 Y 0.625 0.375 0.817
Np1 Np 0.301 0.699 0.026
Np2 Np 0.699 0.301 0.526
S1 S 0.001 0.999 0.804
S2 S 0.134 0.866 0.024
S3 S 0.191 0.809 0.364
S4 S 0.212 0.788 0.687
S5 S 0.453 0.547 0.096
S6 S 0.547 0.453 0.596
S7 S 0.788 0.212 0.187
S8 S 0.809 0.191 0.864
S9 S 0.866 0.134 0.524
S10 S 0.999 0.001 0.304
# **Total DFT energy (no corrections)**: -7.03 eV/atom
# **Space-group type**: Cmc2_1
# **D(E_F)**: 1.151 states/eV/atom

***

(3)
# Li4Y3NpS8 | Alexandria via LeMat-Bulk | PBE | optimized geometry
data_Li4Y3NpS8
_cell_length_a 7.666
_cell_length_b 7.666
_cell_length_c 7.666
_cell_angle_alpha 61.60
_cell_angle_beta 61.60
_cell_angle_gamma 61.60
_symmetry_space_group_name_H-M 'P 1'
_symmetry_Int_Tables_number 1
loop_
_symmetry_equiv_pos_as_xyz
'x,y,z'
loop_
_atom_site_label
_atom_site_type_symbol
_atom_site_fract_x
_atom_site_fract_y
_atom_site_fract_z
Li1 Li 0.000 0.000 0.000
Li2 Li 0.000 0.500 0.500
Li3 Li 0.500 0.000 0.500
Li4 Li 0.500 0.500 0.000
Y1 Y 0.000 0.000 0.500
Y2 Y 0.000 0.500 0.000
Y3 Y 0.500 0.000 0.000
Np1 Np 0.500 0.500 0.500
S1 S 0.249 0.249 0.751
S2 S 0.249 0.751 0.249
S3 S 0.249 0.751 0.751
S4 S 0.250 0.250 0.250
S5 S 0.750 0.750 0.750
S6 S 0.751 0.249 0.249
S7 S 0.751 0.249 0.751
S8 S 0.751 0.751 0.249
# **Total DFT energy (no corrections)**: -6.28 eV/atom
# **Space-group type**: R-3m
# **D(E_F)**: 0.486 states/eV/atom

***

(4)
# Li3Np3ZnS8 | Alexandria via LeMat-Bulk | PBE | optimized geometry
data_Li3Np3ZnS8
_cell_length_a 7.580
_cell_length_b 7.580
_cell_length_c 7.580
_cell_angle_alpha 61.14
_cell_angle_beta 61.14
_cell_angle_gamma 61.14
_symmetry_space_group_name_H-M 'P 1'
_symmetry_Int_Tables_number 1
loop_
_symmetry_equiv_pos_as_xyz
'x,y,z'
loop_
_atom_site_label
_atom_site_type_symbol
_atom_site_fract_x
_atom_site_fract_y
_atom_site_fract_z
Li1 Li 0.000 0.500 0.500
Li2 Li 0.500 0.000 0.500
Li3 Li 0.500 0.500 0.000
Np1 Np 0.000 0.000 0.500
Np2 Np 0.000 0.500 0.000
Np3 Np 0.500 0.000 0.000
Zn1 Zn 0.500 0.500 0.500
S1 S 0.251 0.251 0.251
S2 S 0.257 0.741 0.741
S3 S 0.259 0.259 0.743
S4 S 0.259 0.743 0.259
S5 S 0.741 0.257 0.741
S6 S 0.741 0.741 0.257
S7 S 0.743 0.259 0.259
S8 S 0.749 0.749 0.749
# **Total DFT energy (no corrections)**: -6.45 eV/atom
# **Space-group type**: R-3m
# **D(E_F)**: 1.907 states/eV/atom

***

(5)
# Li2NpZnS4 | Alexandria via LeMat-Bulk | PBE | optimized geometry
data_Li2NpZnS4
_cell_length_a 6.437
_cell_length_b 3.788
_cell_length_c 6.553
_cell_angle_alpha 90.00
_cell_angle_beta 109.80
_cell_angle_gamma 90.00
_symmetry_space_group_name_H-M 'P 1'
_symmetry_Int_Tables_number 1
loop_
_symmetry_equiv_pos_as_xyz
'x,y,z'
loop_
_atom_site_label
_atom_site_type_symbol
_atom_site_fract_x
_atom_site_fract_y
_atom_site_fract_z
Li1 Li 0.000 0.000 0.000
Li2 Li 0.500 0.500 0.000
Np1 Np 0.000 0.500 0.500
Zn1 Zn 0.500 0.000 0.500
S1 S 0.248 0.000 0.759
S2 S 0.269 0.500 0.269
S3 S 0.731 0.500 0.731
S4 S 0.752 0.000 0.241
# **Total DFT energy (no corrections)**: -5.42 eV/atom
# **Space-group type**: P2/m
# **D(E_F)**: 1.222 states/eV/atom

***

(6)
# LiZrNp2S4 | Alexandria via LeMat-Bulk | PBE | optimized geometry
data_LiZrNp2S4
_cell_length_a 6.423
_cell_length_b 3.832
_cell_length_c 6.734
_cell_angle_alpha 90.00
_cell_angle_beta 109.89
_cell_angle_gamma 90.00
_symmetry_space_group_name_H-M 'P 1'
_symmetry_Int_Tables_number 1
loop_
_symmetry_equiv_pos_as_xyz
'x,y,z'
loop_
_atom_site_label
_atom_site_type_symbol
_atom_site_fract_x
_atom_site_fract_y
_atom_site_fract_z
Li1 Li 0.000 0.000 0.000
Zr1 Zr 0.000 0.500 0.500
Np1 Np 0.500 0.000 0.500
Np2 Np 0.500 0.500 0.000
S1 S 0.235 0.500 0.244
S2 S 0.237 0.000 0.748
S3 S 0.763 0.000 0.252
S4 S 0.765 0.500 0.756
# **Total DFT energy (no corrections)**: -8.03 eV/atom
# **Space-group type**: P2/m
# **D(E_F)**: 2.068 states/eV/atom